VASP calculation (meta-GGA SCAN) on AgP2Ir at its PBEsol-relaxed geometry.

Summary:
As for the density of states at the Fermi level: 0.375 states/eV per atom. The calculated total energy comes out at -30.445 eV per atom. As for the formation energy: 1.5 eV per formula unit.

a b c (Å): 4.2561 4.3633 4.2561
angles (deg): 60.81 90.00 119.19
Atoms (fractional coordinates):
Ag1 0.5000 0.0000 0.5000
Ir1 0.0000 0.0000 0.0000
P1 0.2500 0.5000 0.2500
P2 0.7500 0.5000 0.7500

---

VASP calculation (meta-GGA SCAN) on Te2MoBr at its PBEsol-relaxed geometry.

Summary:
As for the density of states at the Fermi level: 0.583 states/eV per atom. The calculation puts the energy relative to the elements, uncorrected at 2.91 eV per formula unit. The calculated total energy comes out at -31.484 eV per atom.

a b c (Å): 3.4355 5.4118 5.4118
angles (deg): 115.71 90.00 90.00
Atoms (fractional coordinates):
Mo1 0.5000 0.5000 0.5000
Te1 0.0000 0.5000 0.0000
Te2 0.0000 0.0000 0.5000
Br1 0.5000 0.0000 0.0000

---

VASP calculation (meta-GGA SCAN) on BaErAgS3 at its PBEsol-relaxed geometry.

Summary:
The calculation puts the energy relative to the elements, uncorrected at -11.01 eV per formula unit. The calculated total energy comes out at -26.859 eV per atom.

a b c (Å): 3.9929 8.3807 8.8599
angles (deg): 101.94 103.02 90.00
Atoms (fractional coordinates):
Ba1 0.8646 0.4271 0.7293
Ba2 0.1354 0.5729 0.2707
Er1 0.1634 0.0813 0.3269
Er2 0.8366 0.9187 0.6731
Ag1 0.5246 0.2101 0.0491
Ag2 0.4754 0.7899 0.9509
S1 0.3248 0.1293 0.6496
S2 0.6752 0.8707 0.3504
S3 0.3228 0.6968 0.6457
S4 0.6772 0.3032 0.3543
S5 0.5000 0.5000 0.0000
S6 0.0000 0.0000 0.0000